A relaxed BaSrS2 crystal, computed with GGA-PBEsol.

Cell: 8.9306 8.9306 8.9306 Å, 30.88 30.88 30.88°
Last column: nearest neighbours and their distance in Å.
Fractional coordinates of all 4 atoms:
Ba 0.0000 0.0000 0.0000  6 S 3.17
Sr 0.5000 0.5000 0.5000  2 S 2.67
S 0.3953 0.3953 0.3953  1 Sr 2.67
S 0.6047 0.6047 0.6047  1 Sr 2.67

Properties
D(E_F) ... 1.959 states/eV per cell
Theoretical density ... 2.885 g/cm3
Crystal system ... trigonal
Energy above the most stable polymorph in this dataset ... 2.23 eV per formula unit
Symmetry ... R-3m, No. 166